Entry from Alexandria via LeMat-Bulk: an optimized crystal structure of K2HgAu (PBE).

abc: 4.7217 4.7217 9.1147
angles: 77.84 77.84 55.12
With the nearest neighbours (Å) after each atom.
Fractional positions:
1 Au 0.7500 0.7500 0.7500  6 K 3.31-3.32
2 K 0.0100 0.0100 0.9733  3 Au 3.31-3.32, 3 Hg 3.58-3.64
3 Hg 0.2500 0.2500 0.2500  6 K 3.58-3.64
4 K 0.4900 0.4900 0.5267  3 Au 3.31-3.32, 3 Hg 3.58-3.64

E_form: -0.190 eV/atom
final energy: -6.53 eV/cell
magnetization: 0.00 μB per atom
crystal system: monoclinic
SG: C2/m (12)

Entry from Alexandria via LeMat-Bulk: an optimized crystal structure of K3Hg2Au4 (PBE).

abc: 4.6907 6.3095 9.9741
angles: 92.68 76.40 68.18
With the nearest neighbours (Å) after each atom.
Fractional positions:
1 Au 0.0369 0.5566 0.3697  2 Au 2.71-2.78, 2 Hg 2.97
2 Au 0.2289 0.4620 0.0801  3 Au 2.78-2.88, 3 Hg 3.00-3.03
3 Hg 0.4748 0.2760 0.7744  5 Au 2.97-3.03
4 Au 0.9631 0.4434 0.6303  2 Au 2.71-2.78, 2 Hg 2.97
5 Au 0.7711 0.5380 0.9199  3 Au 2.78-2.88, 3 Hg 3.00-3.03
6 Hg 0.5252 0.7240 0.2256  5 Au 2.97-3.03
7 K 0.7234 0.1677 0.3856  5 Au 3.29-3.56, 2 Hg 3.67
8 K 0.2766 0.8323 0.6144  5 Au 3.29-3.56, 2 Hg 3.67
9 K 0.0000 0.0000 0.0000  6 Au 3.36-3.58, 2 K 3.72, 4 Hg 3.73

energy above the lowest structure with this stoichiometry: 0.0154 eV per atom
E_form: -0.262 eV/atom
final energy: -19.36 eV/cell
magnetization: 0.00 μB per atom
crystal system: monoclinic
SG: C2/m (12)

Entry from Alexandria via LeMat-Bulk: an optimized crystal structure of K3Hg2Au4 (PBE).

abc: 4.8904 6.4661 9.4972
angles: 106.92 90.00 112.22
With the nearest neighbours (Å) after each atom.
Fractional positions:
1 K 0.6341 0.2682 0.6906  7 Au 3.32-3.51, 4 Hg 3.47-3.61
2 Au 0.7287 0.4574 0.0583  2 Au 2.80, 1 Hg 2.86
3 Au 0.0862 0.1723 0.4277  1 Au 2.81, 2 Hg 2.90
4 Au 0.2713 0.5426 0.9417  2 Au 2.80, 1 Hg 2.86
5 Hg 0.3362 0.6724 0.6765  4 Au 2.86-3.18
6 K 0.0000 0.0000 0.0000  8 Au 3.46-3.86
7 Au 0.9138 0.8277 0.5723  1 Au 2.81, 2 Hg 2.90
8 Hg 0.6638 0.3276 0.3235  4 Au 2.86-3.18
9 K 0.3659 0.7318 0.3094  7 Au 3.32-3.51, 4 Hg 3.47-3.61

energy above the lowest structure with this stoichiometry: 0.0000 eV per atom
E_form: -0.277 eV/atom
final energy: -19.50 eV/cell
magnetization: 0.00 μB per atom
crystal system: monoclinic
SG: C2/m (12)